Material: Sm2CoNiO6
Method: DFT, meta-GGA SCAN
State: single point on PBEsol structure

Cell: 5.2313 5.4328 7.4508 Å, 90.00 90.03 90.00°
Last column: nearest neighbours and their distance in Å.
Positions (direct):
Co1 0.0000 0.5000 0.5000  6 O 1.90-1.93
Co2 0.5000 0.0000 0.0000  6 O 1.90-1.93
O1 0.9181 0.4844 0.7479  1 Co 1.90, 1 Ni 1.93
O2 0.4181 0.0156 0.2479  1 Co 1.90, 1 Ni 1.93
O3 0.5819 0.9844 0.7521  1 Co 1.90, 1 Ni 1.93
O4 0.7928 0.2033 0.0429  1 Co 1.92, 1 Ni 1.97
O5 0.0819 0.5156 0.2521  1 Co 1.90, 1 Ni 1.93
O6 0.2013 0.7914 0.5429  1 Co 1.93, 1 Ni 1.96
O7 0.2072 0.7967 0.9571  1 Co 1.92, 1 Ni 1.97
O8 0.2928 0.2967 0.5429  1 Co 1.92, 1 Ni 1.97
O9 0.2987 0.2914 0.9571  1 Co 1.93, 1 Ni 1.96
O10 0.7072 0.7033 0.4571  1 Co 1.92, 1 Ni 1.97
O11 0.7013 0.7086 0.0429  1 Co 1.93, 1 Ni 1.96
O12 0.7987 0.2086 0.4571  1 Co 1.93, 1 Ni 1.96
Sm1 0.5147 0.4395 0.2500  6 O 2.30-2.48
Sm2 0.0147 0.0605 0.7500  6 O 2.30-2.48
Sm3 0.9853 0.9395 0.2500  6 O 2.30-2.48
Sm4 0.4853 0.5605 0.7500  6 O 2.30-2.48
Ni1 0.5000 0.0000 0.5000  6 O 1.93-1.97
Ni2 0.0000 0.5000 0.0000  6 O 1.93-1.97

Calculated values
Space-group type ... P2_1/c
Raw formation energy ... -2601 meV/atom
Magnetic moment ... 0.95 μB per formula unit

=====

Material: CoNiOs2
Method: DFT, meta-GGA SCAN
State: single point on PBEsol structure

Cell: 4.1001 4.1001 4.1001 Å, 60.00 60.00 60.00°
Last column: nearest neighbours and their distance in Å.
Positions (direct):
Co1 0.0000 0.0000 0.0000  8 Os 2.51
Os1 0.7500 0.7500 0.7500  4 Ni 2.51, 4 Co 2.51
Os2 0.2500 0.2500 0.2500  4 Co 2.51, 4 Ni 2.51
Ni1 0.5000 0.5000 0.5000  8 Os 2.51

Calculated values
Excess energy over the best structure of this formula in the dataset ... 0.067 eV per atom
Formation energy ... 0.303 eV per atom
Space-group type ... Fm-3m
Magnetic moment ... 2.22 μB per formula unit

=====

| no. | Fermi-level density of states (states/eV/atom) |
| --- | --- |
| 1 | 0.29 |
| 2 | 0.51 |